[1]
The following is a PBE calculation of crystalline PaBeMo at its relaxed geometry, from Alexandria via LeMat-Bulk.

Lattice parameters (Å, degrees): 4.1413 4.1413 3.5895 90.00 90.00 120.00
With the nearest neighbours (Å) after each atom.
Sites, in units of the cell vectors:
1 Pa 0.0000 0.0000 0.0000  6 Mo 2.99, 6 Be 2.99
2 Be 0.3333 0.6667 0.5000  3 Mo 2.39
3 Mo 0.6667 0.3333 0.5000  3 Be 2.39

Computed properties:
Energy of formation = 211 meV/atom
Density = 10465 kg/m3
Size of the total moment = 0.0 Bohr magnetons per cell
Total energy = -7.807 eV per atom



[2]
The following is a PBE calculation of crystalline Ba2ZrRu at its relaxed geometry, from Alexandria via LeMat-Bulk.

Lattice parameters (Å, degrees): 8.9062 8.9062 8.9062 94.32 94.32 148.14
With the nearest neighbours (Å) after each atom.
Sites, in units of the cell vectors:
1 Ba 0.3750 0.2090 0.3340  2 Ru 3.25
2 Ba 0.7910 0.1250 0.1660  2 Ru 3.25
3 Ba 0.8750 0.0410 0.6660  2 Ru 3.25
4 Ba 0.9590 0.6250 0.8340  2 Ru 3.25
5 Zr 0.2500 0.7500 0.5000  2 Ru 2.44
6 Zr 0.5000 0.5000 0.0000  2 Ru 2.44
7 Ru 0.0000 0.0000 0.0000  2 Zr 2.44
8 Ru 0.7500 0.2500 0.5000  2 Zr 2.44

Computed properties:
Energy of formation = 524 meV/atom
Density = 4324 kg/m3
Size of the total moment = 0.0 Bohr magnetons per cell
Total energy = -4.893 eV per atom



[3]
The following is a PBE calculation of crystalline ZrZn at its relaxed geometry, from Alexandria via LeMat-Bulk.

Lattice parameters (Å, degrees): 3.2768 6.7951 6.7951 89.29 90.00 90.00
With the nearest neighbours (Å) after each atom.
Sites, in units of the cell vectors:
1 Zr 0.0000 0.0000 0.0000  6 Zn 3.02-3.08, 6 Zr 3.05-3.28
2 Zr 0.0000 0.4550 0.9747  6 Zn 2.87-2.93, 3 Zr 2.98-3.09
3 Zr 0.0000 0.9747 0.4550  6 Zn 2.87-2.93, 3 Zr 2.98-3.09
4 Zr 0.5000 0.7341 0.7341  2 Zn 2.91, 6 Zr 2.98-3.05
5 Zn 0.0000 0.4853 0.4853  6 Zn 2.65-2.80, 2 Zr 2.91
6 Zn 0.5000 0.2272 0.7010  3 Zn 2.80-2.94, 6 Zr 2.91-3.02
7 Zn 0.5000 0.2703 0.2703  4 Zn 2.65-2.94, 4 Zr 2.87
8 Zn 0.5000 0.7010 0.2272  3 Zn 2.80-2.94, 6 Zr 2.91-3.02

Computed properties:
Energy of formation = -132 meV/atom
Density = 6877 kg/m3
Size of the total moment = 0.0 Bohr magnetons per cell
Total energy = -5.043 eV per atom



[4]
The following is a PBE calculation of crystalline Ta2CuAg at its relaxed geometry, from Alexandria via LeMat-Bulk.

Lattice parameters (Å, degrees): 5.0266 5.0266 5.0266 133.39 133.39 68.05
With the nearest neighbours (Å) after each atom.
Sites, in units of the cell vectors:
1 Ta 0.2500 0.7500 0.5000  4 Ta 2.81, 4 Ag 2.88, 4 Cu 2.88
2 Ta 0.7500 0.2500 0.5000  4 Ta 2.81, 4 Ag 2.88, 4 Cu 2.88
3 Cu 0.0000 0.0000 0.0000  4 Ag 2.81, 8 Ta 2.88
4 Ag 0.5000 0.5000 0.0000  4 Cu 2.81, 8 Ta 2.88

Computed properties:
Energy of formation = 293 meV/atom
Density = 13436 kg/m3
Size of the total moment = 0.0 Bohr magnetons per cell
Total energy = -7.370 eV per atom



[5]
The following is a PBE calculation of crystalline Te3Os at its relaxed geometry, from Alexandria via LeMat-Bulk.

Lattice parameters (Å, degrees): 5.0341 5.0341 5.0341 109.47 109.47 109.47
With the nearest neighbours (Å) after each atom.
Sites, in units of the cell vectors:
1 Te 0.0000 0.5000 0.5000  4 Te 2.91, 2 Os 2.91
2 Te 0.5000 0.0000 0.5000  4 Te 2.91, 2 Os 2.91
3 Te 0.5000 0.5000 0.0000  4 Te 2.91, 2 Os 2.91
4 Os 0.0000 0.0000 0.0000  6 Te 2.91

Computed properties:
ΔE_f (raw) = 279 kJ/mol of formula units
Density = 9689 kg/m3
Size of the total moment = 0.0 Bohr magnetons per cell
Total energy = -4.441 eV per atom



[6]
The following is a PBE calculation of crystalline SrY2Ta at its relaxed geometry, from Alexandria via LeMat-Bulk.

Lattice parameters (Å, degrees): 11.9210 11.9210 11.9210 16.65 16.65 16.65
With the nearest neighbours (Å) after each atom.
Sites, in units of the cell vectors:
1 Sr 0.0000 0.0000 0.0000  6 Sr 3.45
2 Y 0.2365 0.2365 0.2365  3 Ta 3.17, 6 Y 3.45
3 Y 0.7635 0.7635 0.7635  3 Ta 3.17, 6 Y 3.45
4 Ta 0.5000 0.5000 0.5000  6 Y 3.17, 6 Ta 3.45

Computed properties:
Energy of formation = 494 meV/atom
Density = 6109 kg/m3
Size of the total moment = 0.0 Bohr magnetons per cell
Total energy = -6.122 eV per atom



[7]
The following is a PBE calculation of crystalline Sm2Si4Ir3Au at its relaxed geometry, from Alexandria via LeMat-Bulk.

Lattice parameters (Å, degrees): 4.2155 4.2155 9.9626 90.00 90.00 90.00
With the nearest neighbours (Å) after each atom.
Sites, in units of the cell vectors:
1 Sm 0.0000 0.5000 0.2384  8 Si 3.18-3.22, 6 Ir 3.20-3.35, 2 Au 3.35
2 Sm 0.5000 0.0000 0.7616  8 Si 3.18-3.22, 6 Ir 3.20-3.35, 2 Au 3.35
3 Si 0.0000 0.0000 0.0000  4 Ir 2.43
4 Si 0.0000 0.5000 0.6403  3 Ir 2.36-2.53, 2 Au 2.53
5 Si 0.5000 0.0000 0.3597  3 Ir 2.36-2.53, 2 Au 2.53
6 Si 0.5000 0.5000 0.0000  4 Ir 2.43
7 Ir 0.0000 0.5000 0.8776  5 Si 2.36-2.43
8 Ir 0.5000 0.0000 0.1224  5 Si 2.36-2.43
9 Ir 0.5000 0.5000 0.5000  4 Si 2.53
10 Au 0.0000 0.0000 0.5000  4 Si 2.53

Computed properties:
ΔE_f (raw) = -862 kJ/mol of formula units
Density = 11130 kg/m3
Size of the total moment = 0.0 Bohr magnetons per cell
Total energy = -6.992 eV per atom



[8]
The following is a PBE calculation of crystalline TaHg3F at its relaxed geometry, from Alexandria via LeMat-Bulk.

Lattice parameters (Å, degrees): 4.7374 4.7374 4.7374 90.00 90.00 90.00
With the nearest neighbours (Å) after each atom.
Sites, in units of the cell vectors:
1 Ta 0.0000 0.0000 0.0000  12 Hg 3.35
2 Hg 0.0000 0.5000 0.5000  2 F 2.37
3 Hg 0.5000 0.0000 0.5000  2 F 2.37
4 Hg 0.5000 0.5000 0.0000  2 F 2.37
5 F 0.5000 0.5000 0.5000  6 Hg 2.37

Computed properties:
ΔE_f (raw) = 269 kJ/mol of formula units
Density = 12521 kg/m3
Size of the total moment = 1.5 Bohr magnetons per cell
Total energy = -2.369 eV per atom